No. 1
Material: CuTcP3
Method: DFT, SCAN
State: single point on PBEsol structure

abc: 4.319 4.319 4.319
angles: 90.00 90.00 90.00
Last column: magnetic moment on the atom in μB.
Element x y z (fractional)
Cu: 0.000 0.000 0.000  -0.01
P: 0.500 0.000 0.000  -0.13
P: 0.000 0.500 0.000  -0.13
P: 0.000 0.000 0.500  -0.13
Tc: 0.500 0.500 0.500  2.85

* space group: Pm-3m (221)
* DOS(E_F): 0.672 states/eV per atom
* VASP energy: -15.057 eV per atom
* energy of formation: 1.2336 eV per atom


No. 2
Material: Cu2TcP
Method: DFT, SCAN
State: single point on PBEsol structure

abc: 3.012 3.012 5.380
angles: 90.00 90.00 90.00
Element x y z (fractional)
Tc: 0.500 0.500 0.723
Cu: 0.500 0.500 0.238
Cu: 0.000 0.000 0.023
P: 0.000 0.000 0.517

* space group: P4mm (99)
* DOS(E_F): 0.604 states/eV per atom
* VASP energy: -19.043 eV per atom
* energy of formation: -0.0784 eV per atom